Computed, not measured: a relaxed structure of Rb2CrCl4F2 at the PBE with a Hubbard U level of DFT.

Results
Final energy, Ha/atom: -0.149
V, Å³ per cell: 457.6

Cell lengths 11.3909, 7.1005, 5.7920 Å; angles 90.00, 102.35, 90.00 degrees
Space group C2/m (No. 12)
Unique sites:
Rb (0.1721, 0.0000, 0.3164)
Cr (0.0000, 0.5000, 0.0000)
Cl (0.0894, 0.2646, 0.8122)
F (0.1322, 0.5000, 0.2466)